DFT (PBE) results for a relaxed structure of Cu2RuCl.

Results
Polymorph energy (0 for the lowest one) = 0.072 eV/atom
Size of the total moment = 0.5 μB/f.u.
Formation energy (no corrections) = 0.39 eV/atom
DFT total energy = -4.44 eV/atom

Unit cell a=6.4557 b=6.4557 c=6.4557 alpha=154.83 beta=143.76 gamma=44.63
Last column: nearest neighbours and their distance in Å.
Element x y z (fractional)
Cu  0.0000  0.0000  0.0000  2 Cu 2.47, 2 Ru 2.60
Cu  0.6199  0.1199  0.5000  2 Cu 2.47, 4 Ru 2.56
Ru  0.1830  0.6830  0.5000  2 Cl 2.39, 6 Cu 2.56-2.60
Cl  0.3447  0.3447  0.0000  2 Ru 2.39